# CoNiF2

An optimized crystal structure of CoNiF2 (GGA+U, Alexandria).

Cell: 5.579 5.579 5.579 Å, 90.00 90.00 90.00°
Space group Fm-3m (No. 225)
Unique sites:
1 Co 0.000 0.000 0.000 (multiplicity 4)
2 Ni 0.000 0.000 0.500 (multiplicity 4)
3 F 0.250 0.250 0.250 (multiplicity 8)

Values from the calculation:
The magnetic moment comes out at 13.8 Bohr magnetons per cell. The excess energy over the best structure of this formula in the dataset is 2.80 eV per formula unit. Its crystal system is cubic. Its density of states at the Fermi level is 18.895 states/eV/cell. For the calculated volume, the calculation gives 10.9 A^3/atom.